Here is a relaxed structure of Ho2Zn3CdCu12 from Alexandria. Energies are from PBE.

a = 6.553 Å, b = 6.553 Å, c = 6.553 Å
α = 85.02°, β = 85.02°, γ = 85.02°
Atoms (fractional coordinates):
Cu: 0.866 0.415 0.415
Cu: 0.291 0.798 0.798
Ho: 0.705 0.705 0.705
Cu: 0.585 0.134 0.585
Zn: 0.500 0.000 0.000
Ho: 0.295 0.295 0.295
Zn: 0.000 0.500 0.000
Cu: 0.585 0.585 0.134
Cu: 0.415 0.866 0.415
Cu: 0.798 0.291 0.798
Zn: 0.000 0.000 0.500
Cu: 0.798 0.798 0.291
Cu: 0.134 0.585 0.585
Cd: 0.000 0.000 0.000
Cu: 0.709 0.202 0.202
Cu: 0.415 0.415 0.866
Cu: 0.202 0.202 0.709
Cu: 0.202 0.709 0.202

Values from the calculation:
E_tot in eV for the cell shown: -62.06
Spin magnetization in μB per formula unit: 0.00
Density of states at the Fermi level in states/eV/cell: 9.216
Calculated formation energy in kJ/mol of formula units: 95.1



Here is a relaxed structure of HoZrCdCu from Alexandria. Energies are from PBE.

a = 4.961 Å, b = 4.961 Å, c = 4.961 Å
α = 60.00°, β = 60.00°, γ = 60.00°
Atoms (fractional coordinates):
Zr: 0.500 0.500 0.500
Cu: 0.250 0.250 0.250
Cd: 0.750 0.750 0.750
Ho: 0.000 0.000 0.000

Values from the calculation:
E_tot in eV for the cell shown: -18.42
Spin magnetization in μB per formula unit: 1.08
Density of states at the Fermi level in states/eV/cell: 3.821
Calculated formation energy in kJ/mol of formula units: -27.0



Here is a relaxed structure of Cd2Cu2I7 from Alexandria. Energies are from PBE.

a = 8.847 Å, b = 8.847 Å, c = 15.938 Å
α = 107.53°, β = 107.53°, γ = 102.06°
Atoms (fractional coordinates):
I: 0.515 0.668 0.639
Cu: 0.288 0.047 0.229
I: 0.668 0.515 0.139
Cd: 0.382 0.799 0.503
Cd: 0.618 0.201 0.497
Cd: 0.201 0.618 0.997
I: 0.859 0.586 0.899
I: 0.050 0.581 0.387
Cu: 0.953 0.712 0.271
Cu: 0.712 0.953 0.771
I: 0.581 0.050 0.887
I: 0.414 0.141 0.601
I: 0.485 0.332 0.361
I: 0.950 0.419 0.613
Cu: 0.047 0.288 0.729
I: 0.332 0.485 0.861
Cd: 0.799 0.382 0.003
I: 0.018 0.982 0.250
I: 0.586 0.859 0.399
I: 0.982 0.018 0.750
I: 0.419 0.950 0.113
I: 0.141 0.414 0.101

Values from the calculation:
E_tot in eV for the cell shown: -49.46
Spin magnetization in μB per formula unit: 0.77
Density of states at the Fermi level in states/eV/cell: 7.595
Formation energy from raw total energies in meV/atom: -351



Here is a relaxed structure of CdCuI3 from Alexandria. Energies are from PBE.

a = 5.460 Å, b = 5.460 Å, c = 5.460 Å
α = 90.00°, β = 90.00°, γ = 90.00°
Atoms (fractional coordinates):
I: 0.000 0.500 0.000
I: 0.500 0.000 0.000
Cd: 0.500 0.500 0.500
I: 0.000 0.000 0.500
Cu: 0.000 0.000 0.000

Values from the calculation:
E_tot in eV for the cell shown: -9.21
ΔE to the lowest computed polymorph in meV/atom: 467.4
Spin magnetization in μB per formula unit: 0.00
Density of states at the Fermi level in states/eV/cell: 4.409
Formation energy from raw total energies in meV/atom: 90



Here is a relaxed structure of CdCuI2 from Alexandria. Energies are from PBE.

a = 6.958 Å, b = 6.958 Å, c = 7.836 Å
α = 63.64°, β = 63.64°, γ = 90.00°
Atoms (fractional coordinates):
Cu: 0.250 0.750 0.500
Cd: 0.750 0.250 0.500
I: 0.192 0.625 0.250
I: 0.375 0.442 0.750
I: 0.875 0.808 0.750
Cd: 0.000 0.000 0.000
Cu: 0.500 0.500 0.000
I: 0.558 0.125 0.250

Values from the calculation:
E_tot in eV for the cell shown: -16.75
ΔE to the lowest computed polymorph in meV/atom: 0.0
Spin magnetization in μB per formula unit: 0.00
Density of states at the Fermi level in states/eV/cell: 8.176
Formation energy from raw total energies in meV/atom: -66



Here is a relaxed structure of Cd2Cu2I from Alexandria. Energies are from PBE.

a = 8.534 Å, b = 8.534 Å, c = 2.992 Å
α = 90.00°, β = 90.00°, γ = 90.00°
Atoms (fractional coordinates):
Cu: 0.898 0.398 0.500
Cd: 0.318 0.818 0.000
Cu: 0.398 0.102 0.500
I: 0.000 0.000 0.000
Cd: 0.182 0.318 0.000
Cd: 0.682 0.182 0.000
Cu: 0.102 0.602 0.500
I: 0.500 0.500 0.000
Cu: 0.602 0.898 0.500
Cd: 0.818 0.682 0.000

Values from the calculation:
E_tot in eV for the cell shown: -20.16
Spin magnetization in μB per formula unit: 0.00
Density of states at the Fermi level in states/eV/cell: 3.929
Formation energy from raw total energies in meV/atom: 298